Density functional theory data (PBE) for InPSN2 after structural relaxation.

Computed properties:
Uncorrected energy ... -5.072 eV per atom

Unit cell a=3.541 b=3.541 c=5.450 alpha=90.00 beta=90.00 gamma=90.00
Space group P4/mmm (No. 123)
One atom of each set of equivalent atoms:
In: 0.000 0.000 0.000 x1
P: 0.500 0.500 0.500 x1
S: 0.500 0.500 0.000 x1
N: 0.000 0.500 0.500 x2